DFT (PBE-GGA) results for a geometry-optimized Mn2RhBr structure.

Its formation energy without anion corrections is 0.48 eV per atom.

The space group is I-4m2 (No. 119) and the conventional cell measures 3.8056, 3.8056 and 9.2860 Å, with angles of 90.00, 90.00 and 90.00 degrees. Symmetry generates all atoms from Mn at (0.0000, 0.0000, 0.0000), Mn at (0.0000, 0.5000, 0.2500), Rh at (0.0000, 0.5000, 0.7500) and Br at (0.0000, 0.0000, 0.5000).